# 1
## ScZn3I (SCAN)

Data for a crystal of ScZn3I relaxed with PBEsol.

Properties
* DOS(E_F): 5.3 states/eV/cell
* total energy: -86.0 eV per cell
* crystal system: cubic
* M_tot: 0.0 Bohr magnetons per cell

a = 5.166 Å, b = 5.166 Å, c = 5.166 Å
α = 90.00°, β = 90.00°, γ = 90.00°
Fractional positions:
I (0.000, 0.000, 0.000)
Sc (0.500, 0.500, 0.500)
Zn (0.000, 0.500, 0.000)
Zn (0.000, 0.000, 0.500)
Zn (0.500, 0.000, 0.000)

---

# 2
## ZrScI3 (SCAN)

Data for a crystal of ZrScI3 relaxed with PBEsol.

Properties
* DOS(E_F): 6.2 states/eV/cell
* total energy: -155.4 eV per cell
* crystal system: cubic
* M_tot: 3.9 Bohr magnetons per cell

a = 5.612 Å, b = 5.612 Å, c = 5.612 Å
α = 90.00°, β = 90.00°, γ = 90.00°
Last column: magnetic moment on the atom in μB.
Fractional positions:
I (0.000, 0.500, 0.000)  0.00
I (0.000, 0.000, 0.500)  0.00
I (0.500, 0.000, 0.000)  0.00
Sc (0.500, 0.500, 0.500)  1.26
Zr (0.000, 0.000, 0.000)  1.10

---

# 3
## ZrSc3I (SCAN)

Data for a crystal of ZrSc3I relaxed with PBEsol.

Properties
* DOS(E_F): 2.8 states/eV/cell
* total energy: -107.9 eV per cell
* crystal system: cubic
* M_tot: 0.0 Bohr magnetons per cell

a = 5.165 Å, b = 5.165 Å, c = 5.165 Å
α = 90.00°, β = 90.00°, γ = 90.00°
Fractional positions:
I (0.000, 0.000, 0.000)
Sc (0.000, 0.500, 0.000)
Sc (0.000, 0.000, 0.500)
Sc (0.500, 0.000, 0.000)
Zr (0.500, 0.500, 0.500)

---

# 4
## ZrSc2I (SCAN)

Data for a crystal of ZrSc2I relaxed with PBEsol.

Properties
* DOS(E_F): 4.3 states/eV/cell
* total energy: -94.8 eV per cell
* crystal system: cubic
* M_tot: 1.2 Bohr magnetons per cell

a = 4.994 Å, b = 4.994 Å, c = 4.994 Å
α = 60.00°, β = 60.00°, γ = 60.00°
Last column: magnetic moment on the atom in μB.
Fractional positions:
I (0.500, 0.500, 0.500)  0.00
Sc (0.250, 0.250, 0.250)  -0.13
Sc (0.750, 0.750, 0.750)  -0.13
Zr (0.000, 0.000, 0.000)  -0.53

---

# 5
## SeI2 (SCAN)

Data for a crystal of SeI2 relaxed with PBEsol.

Properties
* total energy: -186.5 eV per cell
* crystal system: tetragonal
* M_tot: 0.0 Bohr magnetons per cell

a = 3.845 Å, b = 7.935 Å, c = 7.935 Å
α = 90.00°, β = 90.00°, γ = 90.00°
Fractional positions:
I (0.000, 0.320, 0.320)
I (0.000, 0.680, 0.680)
I (0.500, 0.180, 0.820)
I (0.500, 0.820, 0.180)
Se (0.000, 0.000, 0.000)
Se (0.500, 0.500, 0.500)

---

# 6
## SeI3 (SCAN)

Data for a crystal of SeI3 relaxed with PBEsol.

Properties
* total energy: -260.7 eV per cell
* crystal system: monoclinic
* M_tot: 0.0 Bohr magnetons per cell

a = 4.511 Å, b = 9.194 Å, c = 8.991 Å
α = 120.75°, β = 97.46°, γ = 90.00°
Fractional positions:
I (0.056, 0.119, 0.237)
I (0.324, 0.784, 0.094)
I (0.951, 0.725, 0.451)
I (0.681, 0.059, 0.593)
I (0.324, 0.310, 0.094)
I (0.681, 0.534, 0.593)
Se (0.607, 0.498, 0.997)
Se (0.398, 0.344, 0.689)

---

# 7
## YSnSeI2 (SCAN)

Data for a crystal of YSnSeI2 relaxed with PBEsol.

Properties
* DOS(E_F): 2.4 states/eV/cell
* total energy: -158.2 eV per cell
* crystal system: tetragonal
* M_tot: 0.8 Bohr magnetons per cell

a = 5.635 Å, b = 5.635 Å, c = 6.355 Å
α = 90.00°, β = 90.00°, γ = 90.00°
Last column: magnetic moment on the atom in μB.
Fractional positions:
I (0.000, 0.500, 0.000)  0.01
I (0.500, 0.000, 0.000)  0.01
Y (0.000, 0.000, 0.000)  0.00
Sn (0.000, 0.000, 0.500)  -0.06
Se (0.500, 0.500, 0.500)  0.54

---

# 8
## SrSe2I2 (SCAN)

Data for a crystal of SrSe2I2 relaxed with PBEsol.

Properties
* DOS(E_F): 1.5 states/eV/cell
* total energy: -140.2 eV per cell
* crystal system: tetragonal
* M_tot: 0.0 Bohr magnetons per cell

a = 3.832 Å, b = 3.832 Å, c = 11.860 Å
α = 99.30°, β = 99.30°, γ = 90.00°
Fractional positions:
I (0.416, 0.416, 0.832)
I (0.584, 0.584, 0.168)
Sr (0.000, 0.000, 0.000)
Se (0.250, 0.750, 0.500)
Se (0.750, 0.250, 0.500)

---

# 9
## Ta3Se12I (SCAN)

Data for a crystal of Ta3Se12I relaxed with PBEsol.

Properties
* DOS(E_F): 1.9 states/eV/cell
* total energy: -1945.8 eV per cell
* crystal system: tetragonal
* M_tot: 0.0 Bohr magnetons per cell

a = 9.358 Å, b = 9.358 Å, c = 19.038 Å
α = 90.00°, β = 90.00°, γ = 90.00°
Fractional positions:
Ta (0.000, 0.500, 0.081)
Ta (0.000, 0.500, 0.919)
Ta (0.500, 0.000, 0.081)
Ta (0.500, 0.000, 0.419)
Ta (0.500, 0.000, 0.919)
Ta (0.500, 0.000, 0.581)
Ta (0.000, 0.500, 0.419)
Ta (0.000, 0.500, 0.581)
Ta (0.000, 0.500, 0.250)
Ta (0.000, 0.500, 0.750)
Ta (0.500, 0.000, 0.250)
Ta (0.500, 0.000, 0.750)
Se (0.226, 0.474, 0.000)
Se (0.774, 0.526, 0.000)
Se (0.526, 0.226, 0.000)
Se (0.274, 0.974, 0.500)
Se (0.474, 0.774, 0.000)
Se (0.726, 0.026, 0.500)
Se (0.974, 0.726, 0.500)
Se (0.026, 0.274, 0.500)
Se (0.283, 0.051, 0.329)
Se (0.717, 0.949, 0.671)
Se (0.717, 0.949, 0.329)
Se (0.949, 0.283, 0.329)
Se (0.217, 0.551, 0.171)
Se (0.283, 0.051, 0.671)
Se (0.051, 0.717, 0.671)
Se (0.783, 0.449, 0.829)
Se (0.051, 0.717, 0.329)
Se (0.783, 0.449, 0.171)
Se (0.949, 0.283, 0.671)
Se (0.217, 0.551, 0.829)
Se (0.551, 0.783, 0.171)
Se (0.449, 0.217, 0.829)
Se (0.449, 0.217, 0.171)
Se (0.551, 0.783, 0.829)
Se (0.126, 0.310, 0.161)
Se (0.874, 0.690, 0.839)
Se (0.874, 0.690, 0.161)
Se (0.690, 0.126, 0.161)
Se (0.374, 0.810, 0.339)
Se (0.126, 0.310, 0.839)
Se (0.310, 0.874, 0.839)
Se (0.626, 0.190, 0.661)
Se (0.310, 0.874, 0.161)
Se (0.626, 0.190, 0.339)
Se (0.690, 0.126, 0.839)
Se (0.374, 0.810, 0.661)
Se (0.810, 0.626, 0.339)
Se (0.190, 0.374, 0.661)
Se (0.190, 0.374, 0.339)
Se (0.810, 0.626, 0.661)
Se (0.299, 0.112, 0.000)
Se (0.701, 0.888, 0.000)
Se (0.888, 0.299, 0.000)
Se (0.201, 0.612, 0.500)
Se (0.112, 0.701, 0.000)
Se (0.799, 0.388, 0.500)
Se (0.612, 0.799, 0.500)
Se (0.388, 0.201, 0.500)
I (0.000, 0.000, 0.124)
I (0.000, 0.000, 0.876)
I (0.500, 0.500, 0.376)
I (0.500, 0.500, 0.624)

---

# 10
## Ta3SeI7 (SCAN)

Data for a crystal of Ta3SeI7 relaxed with PBEsol.

Properties
* total energy: -965.1 eV per cell
* crystal system: hexagonal
* M_tot: 0.0 Bohr magnetons per cell

a = 7.497 Å, b = 7.497 Å, c = 13.622 Å
α = 90.00°, β = 90.00°, γ = 120.00°
Fractional positions:
Ta (0.131, 0.869, 0.750)
Ta (0.869, 0.738, 0.250)
Ta (0.262, 0.131, 0.250)
Ta (0.738, 0.869, 0.750)
Ta (0.131, 0.262, 0.750)
Ta (0.869, 0.131, 0.250)
Se (0.000, 0.000, 0.612)
Se (0.000, 0.000, 0.112)
I (0.006, 0.503, 0.138)
I (0.994, 0.497, 0.638)
I (0.503, 0.006, 0.638)
I (0.497, 0.503, 0.138)
I (0.497, 0.994, 0.138)
I (0.503, 0.497, 0.638)
I (0.333, 0.667, 0.853)
I (0.667, 0.333, 0.353)
I (0.831, 0.169, 0.886)
I (0.169, 0.339, 0.386)
I (0.661, 0.831, 0.386)
I (0.339, 0.169, 0.886)
I (0.831, 0.661, 0.886)
I (0.169, 0.831, 0.386)

---

# 11
## TaTe2SeI (SCAN)

Data for a crystal of TaTe2SeI relaxed with PBEsol.

Properties
* DOS(E_F): 4.7 states/eV/cell
* total energy: -195.5 eV per cell
* crystal system: tetragonal
* M_tot: 0.0 Bohr magnetons per cell
* ΔE to the lowest computed polymorph: 0 meV/atom

a = 5.315 Å, b = 5.315 Å, c = 5.311 Å
α = 90.00°, β = 90.00°, γ = 90.00°
Fractional positions:
I (0.000, 0.000, 0.500)
Te (0.000, 0.500, 0.000)
Te (0.500, 0.000, 0.000)
Se (0.500, 0.500, 0.500)
Ta (0.000, 0.000, 0.000)

---

# 12
## TaTe2SeI (SCAN)

Data for a crystal of TaTe2SeI relaxed with PBEsol.

Properties
* DOS(E_F): 4.1 states/eV/cell
* total energy: -191.4 eV per cell
* crystal system: tetragonal
* M_tot: 2.5 Bohr magnetons per cell
* ΔE to the lowest computed polymorph: 829 meV/atom

a = 5.335 Å, b = 5.335 Å, c = 5.300 Å
α = 90.00°, β = 90.00°, γ = 90.00°
Last column: magnetic moment on the atom in μB.
Fractional positions:
I (0.000, 0.000, 0.500)  -0.05
Te (0.000, 0.500, 0.000)  -0.26
Te (0.500, 0.000, 0.000)  -0.26
Se (0.000, 0.000, 0.000)  -0.02
Ta (0.500, 0.500, 0.500)  2.12

---

no.,ΔE_f (raw) (eV/f.u.)
1,5.48
2,-0.20
3,2.26
4,1.11
5,0.33
6,-0.05
7,-0.90
8,-4.29
9,-9.02
10,-5.55
11,2.39
12,6.53